This record from Alexandria via LeMat-Bulk describes crystalline SiAgTe2 at its relaxed geometry. The functional is PBE-GGA.

The structure in CIF format:
```
data_SiAgTe2
_chemical_formula_sum 'Si1 Ag1 Te2'
_space_group_name_H-M_alt 'P 1'
_space_group_IT_number 1
_space_group_name_Hall 'P 1'
_cell_length_a 3.165
_cell_length_b 3.165
_cell_length_c 9.930
_cell_angle_alpha 90.00
_cell_angle_beta 90.00
_cell_angle_gamma 90.00
loop_
_atom_site_label
_atom_site_type_symbol
_atom_site_fract_x
_atom_site_fract_y
_atom_site_fract_z
Si1 Si 0.000 0.000 0.000
Ag1 Ag 0.500 0.500 0.836
Te1 Te 0.000 0.000 0.601
Te2 Te 0.500 0.500 0.226
```

Properties
Formation energy from raw total energies in eV per atom: 0.351
Size of the total moment in μB per formula unit: 0.00
V in A^3/atom: 24.9
E in eV for the cell shown: -13.2
Space group: No. 99


This record from Alexandria via LeMat-Bulk describes crystalline SiAgTe2 at its relaxed geometry. The functional is PBE-GGA.

The structure in CIF format:
```
data_SiAgTe2
_chemical_formula_sum 'Si4 Ag4 Te8'
_space_group_name_H-M_alt 'P 1'
_space_group_IT_number 1
_space_group_name_Hall 'P 1'
_cell_length_a 8.015
_cell_length_b 7.093
_cell_length_c 9.890
_cell_angle_alpha 90.00
_cell_angle_beta 114.28
_cell_angle_gamma 90.00
loop_
_atom_site_label
_atom_site_type_symbol
_atom_site_fract_x
_atom_site_fract_y
_atom_site_fract_z
Si1 Si 0.170 0.151 0.033
Si2 Si 0.170 0.349 0.533
Si3 Si 0.830 0.651 0.467
Si4 Si 0.830 0.849 0.967
Ag1 Ag 0.081 0.568 0.811
Ag2 Ag 0.081 0.932 0.311
Ag3 Ag 0.919 0.068 0.689
Ag4 Ag 0.919 0.432 0.189
Te1 Te 0.180 0.721 0.576
Te2 Te 0.180 0.779 0.076
Te3 Te 0.290 0.238 0.829
Te4 Te 0.290 0.262 0.329
Te5 Te 0.710 0.738 0.671
Te6 Te 0.710 0.762 0.171
Te7 Te 0.820 0.221 0.924
Te8 Te 0.820 0.279 0.424
```

Properties
Formation energy from raw total energies in eV per atom: 0.087
Size of the total moment in μB per formula unit: 0.00
V in A^3/atom: 32.0
E in eV for the cell shown: -56.8
Space group: No. 14


This record from Alexandria via LeMat-Bulk describes crystalline SiAg2Te at its relaxed geometry. The functional is PBE-GGA.

The structure in CIF format:
```
data_SiAg2Te
_chemical_formula_sum 'Si3 Ag6 Te3'
_space_group_name_H-M_alt 'P 1'
_space_group_IT_number 1
_space_group_name_Hall 'P 1'
_cell_length_a 3.718
_cell_length_b 3.718
_cell_length_c 22.043
_cell_angle_alpha 90.00
_cell_angle_beta 90.00
_cell_angle_gamma 120.00
loop_
_atom_site_label
_atom_site_type_symbol
_atom_site_fract_x
_atom_site_fract_y
_atom_site_fract_z
Si1 Si 0.000 0.000 0.000
Si2 Si 0.333 0.667 0.667
Si3 Si 0.667 0.333 0.333
Ag1 Ag 0.000 0.000 0.493
Ag2 Ag 0.000 0.000 0.739
Ag3 Ag 0.333 0.667 0.160
Ag4 Ag 0.333 0.667 0.406
Ag5 Ag 0.667 0.333 0.073
Ag6 Ag 0.667 0.333 0.826
Te1 Te 0.000 0.000 0.257
Te2 Te 0.333 0.667 0.924
Te3 Te 0.667 0.333 0.591
```

Properties
Formation energy from raw total energies in eV per atom: 0.276
Size of the total moment in μB per formula unit: 0.00
V in A^3/atom: 22.0
E in eV for the cell shown: -39.5
Space group: No. 160


This record from Alexandria via LeMat-Bulk describes crystalline SiAg2Te at its relaxed geometry. The functional is PBE-GGA.

The structure in CIF format:
```
data_SiAg2Te
_chemical_formula_sum 'Si1 Ag2 Te1'
_space_group_name_H-M_alt 'P 1'
_space_group_IT_number 1
_space_group_name_Hall 'P 1'
_cell_length_a 4.339
_cell_length_b 4.339
_cell_length_c 4.425
_cell_angle_alpha 90.00
_cell_angle_beta 90.00
_cell_angle_gamma 90.00
loop_
_atom_site_label
_atom_site_type_symbol
_atom_site_fract_x
_atom_site_fract_y
_atom_site_fract_z
Si1 Si 0.000 0.000 0.000
Ag1 Ag 0.000 0.500 0.500
Ag2 Ag 0.500 0.000 0.500
Te1 Te 0.500 0.500 0.000
```

Properties
Formation energy from raw total energies in eV per atom: 0.354
Size of the total moment in μB per formula unit: 0.00
V in A^3/atom: 20.8
E in eV for the cell shown: -12.8
Space group: No. 123


This record from Alexandria via LeMat-Bulk describes crystalline Si2Ag2Te at its relaxed geometry. The functional is PBE-GGA.

The structure in CIF format:
```
data_Si2Ag2Te
_chemical_formula_sum 'Si4 Ag4 Te2'
_space_group_name_H-M_alt 'P 1'
_space_group_IT_number 1
_space_group_name_Hall 'P 1'
_cell_length_a 4.244
_cell_length_b 4.244
_cell_length_c 11.171
_cell_angle_alpha 90.00
_cell_angle_beta 90.00
_cell_angle_gamma 90.00
loop_
_atom_site_label
_atom_site_type_symbol
_atom_site_fract_x
_atom_site_fract_y
_atom_site_fract_z
Si1 Si 0.000 0.000 0.104
Si2 Si 0.000 0.000 0.896
Si3 Si 0.500 0.500 0.396
Si4 Si 0.500 0.500 0.604
Ag1 Ag 0.000 0.500 0.250
Ag2 Ag 0.000 0.500 0.750
Ag3 Ag 0.500 0.000 0.250
Ag4 Ag 0.500 0.000 0.750
Te1 Te 0.000 0.000 0.500
Te2 Te 0.500 0.500 0.000
```

Properties
Formation energy from raw total energies in eV per atom: 0.346
Size of the total moment in μB per formula unit: 0.00
V in A^3/atom: 20.1
E in eV for the cell shown: -35.9
Space group: No. 139


This record from Alexandria via LeMat-Bulk describes crystalline SiAgTe2 at its relaxed geometry. The functional is PBE-GGA.

The structure in CIF format:
```
data_SiAgTe2
_chemical_formula_sum 'Si2 Ag2 Te4'
_space_group_name_H-M_alt 'P 1'
_space_group_IT_number 1
_space_group_name_Hall 'P 1'
_cell_length_a 4.053
_cell_length_b 6.366
_cell_length_c 7.942
_cell_angle_alpha 90.00
_cell_angle_beta 90.00
_cell_angle_gamma 90.00
loop_
_atom_site_label
_atom_site_type_symbol
_atom_site_fract_x
_atom_site_fract_y
_atom_site_fract_z
Si1 Si 0.000 0.000 0.000
Si2 Si 0.500 0.500 0.000
Ag1 Ag 0.000 0.000 0.500
Ag2 Ag 0.500 0.500 0.500
Te1 Te 0.000 0.500 0.241
Te2 Te 0.000 0.500 0.759
Te3 Te 0.500 0.000 0.241
Te4 Te 0.500 0.000 0.759
```

Properties
Formation energy from raw total energies in eV per atom: 0.366
Size of the total moment in μB per formula unit: 0.00
V in A^3/atom: 25.6
E in eV for the cell shown: -26.2
Space group: No. 65